No. 1
The following is a PBE calculation of a relaxed La2CuPt2 crystal, from the Alexandria database.

The structure in extended XYZ format:
```
5
Lattice="5.676 0.000 0.000 0.000 5.676 0.000 2.838 2.838 3.918" Properties=species:S:1:pos:R:3 pbc="T T T"
La 2.838 5.676 1.959
Pt 2.838 2.838 1.339
La 5.676 2.838 1.959
Cu 0.000 0.000 0.000
Pt 5.676 5.676 2.579
```

Computed properties:
V ... 25.24 Å³/atom
DOS(E_F) ... 2.05 states/eV/f.u.
Spin magnetization ... 0.0 μB per cell
Formation energy from the elements ... -770 meV per atom
SG ... No. 139

---

No. 2
The following is a PBE calculation of a relaxed TaCdTc crystal, from the Alexandria database.

The structure in extended XYZ format:
```
3
Lattice="-4.442 4.779 3.523 -5.887 3.990 1.157 -0.938 -1.404 2.337" Properties=species:S:1:pos:R:3 pbc="T T T"
Tc -7.302 5.489 3.924
Cd -0.968 -1.372 2.344
Ta -3.935 1.842 3.084
```

Computed properties:
V ... 18.08 Å³/atom
DOS(E_F) ... 2.51 states/eV/f.u.
Spin magnetization ... 0.0 μB per cell
Formation energy from the elements ... 183 meV per atom
SG ... No. 42

---

No. 3
The following is a PBE calculation of a relaxed Rb3Ce2YS6 crystal, from the Alexandria database.

The structure in extended XYZ format:
```
12
Lattice="-0.584 -0.382 -7.235 6.203 -1.943 3.253 -4.441 -6.437 1.916" Properties=species:S:1:pos:R:3 pbc="T T T"
Rb 0.589 -4.381 -1.033
S 3.289 -2.971 -2.571
Rb -1.671 -3.861 -4.526
Y 0.000 0.000 0.000
Ce 1.678 -0.902 -3.739
S -0.690 -1.527 -2.243
S 1.521 -2.036 1.174
S 1.868 -7.234 0.176
Ce 3.940 -1.422 -0.243
S -2.111 -5.791 0.504
S -0.343 -6.725 -3.241
Rb 2.849 -4.901 2.459
```

Computed properties:
V ... 29.27 Å³/atom
Calculated total energy ... -5.6247 eV per atom
DOS(E_F) ... 11.67 states/eV/f.u.
Spin magnetization ... 2.0 μB per cell
SG ... No. 12

---

No. 4
The following is a PBE calculation of a relaxed GaPIO2 crystal, from the Alexandria database.

The structure in extended XYZ format:
```
5
Lattice="3.997 0.000 0.000 0.000 3.997 0.000 0.000 0.000 5.579" Properties=species:S:1:pos:R:3 pbc="T T T"
P 0.000 0.000 2.790
O 1.999 0.000 0.000
Ga 1.999 1.999 2.790
I 0.000 0.000 0.000
O 0.000 1.999 0.000
```

Computed properties:
V ... 17.83 Å³/atom
Calculated total energy ... -3.7944 eV per atom
DOS(E_F) ... 1.11 states/eV/f.u.
Spin magnetization ... 0.0 μB per cell
SG ... No. 123

---

No. 5
The following is a PBE calculation of a relaxed LiSn2Pd2 crystal, from the Alexandria database.

The structure in extended XYZ format:
```
10
Lattice="7.847 0.000 0.000 0.000 7.847 0.000 0.000 0.000 3.171" Properties=species:S:1:pos:R:3 pbc="T T T"
Sn 2.710 6.634 0.000
Li 3.924 3.924 0.000
Pd 1.112 5.036 1.585
Pd 2.811 1.112 1.585
Sn 6.634 5.137 0.000
Sn 5.137 1.213 0.000
Pd 5.036 6.735 1.585
Sn 1.213 2.710 0.000
Pd 6.735 2.811 1.585
Li 0.000 0.000 0.000
```

Computed properties:
V ... 19.53 Å³/atom
DOS(E_F) ... 2.54 states/eV/f.u.
Spin magnetization ... 0.0 μB per cell
Formation energy from the elements ... -428 meV per atom
SG ... No. 127

---

No. 6
The following is a PBE calculation of a relaxed CaCr3 crystal, from the Alexandria database.

The structure in extended XYZ format:
```
4
Lattice="-2.668 3.055 -3.523 2.140 -0.708 -4.877 -1.727 -3.525 3.668" Properties=species:S:1:pos:R:3 pbc="T T T"
Cr -2.329 0.352 -2.027
Ca 0.000 0.000 0.000
Cr -0.264 1.174 -4.200
Cr 0.075 -1.530 -2.704
```

Computed properties:
V ... 21.35 Å³/atom
DOS(E_F) ... 7.06 states/eV/f.u.
Spin magnetization ... 12.6 μB per cell
Formation energy from the elements ... 1195 meV per atom
SG ... No. 139

---

Please write out number 5 again, unchanged.
The following is a PBE calculation of a relaxed LiSn2Pd2 crystal, from the Alexandria database.

The structure in extended XYZ format:
```
10
Lattice="7.847 0.000 0.000 0.000 7.847 0.000 0.000 0.000 3.171" Properties=species:S:1:pos:R:3 pbc="T T T"
Sn 2.710 6.634 0.000
Li 3.924 3.924 0.000
Pd 1.112 5.036 1.585
Pd 2.811 1.112 1.585
Sn 6.634 5.137 0.000
Sn 5.137 1.213 0.000
Pd 5.036 6.735 1.585
Sn 1.213 2.710 0.000
Pd 6.735 2.811 1.585
Li 0.000 0.000 0.000
```

Computed properties:
V ... 19.53 Å³/atom
DOS(E_F) ... 2.54 states/eV/f.u.
Spin magnetization ... 0.0 μB per cell
Formation energy from the elements ... -428 meV per atom
SG ... No. 127

---

- Which of these has the highest DOS(E_F)?
  Rb3Ce2YS6

---

Copy entry 5 word for word.
The following is a PBE calculation of a relaxed LiSn2Pd2 crystal, from the Alexandria database.

The structure in extended XYZ format:
```
10
Lattice="7.847 0.000 0.000 0.000 7.847 0.000 0.000 0.000 3.171" Properties=species:S:1:pos:R:3 pbc="T T T"
Sn 2.710 6.634 0.000
Li 3.924 3.924 0.000
Pd 1.112 5.036 1.585
Pd 2.811 1.112 1.585
Sn 6.634 5.137 0.000
Sn 5.137 1.213 0.000
Pd 5.036 6.735 1.585
Sn 1.213 2.710 0.000
Pd 6.735 2.811 1.585
Li 0.000 0.000 0.000
```

Computed properties:
V ... 19.53 Å³/atom
DOS(E_F) ... 2.54 states/eV/f.u.
Spin magnetization ... 0.0 μB per cell
Formation energy from the elements ... -428 meV per atom
SG ... No. 127